## Y3Cl (PBE)

Data for Y3Cl after structural relaxation.

Computed properties:
Calculated density (g cm⁻³): 4.35
Uncorrected formation energy (eV per formula unit): -1.74
Energy above the most stable polymorph in this dataset (meV/atom): 225

a = 6.583 Å, b = 6.583 Å, c = 6.583 Å
α = 149.80°, β = 125.72°, γ = 63.38°
Fractional positions:
Y 0.000 0.000 0.000
Y 0.288 0.788 0.500
Y 0.712 0.212 0.500
Cl 0.500 0.500 0.000